Material: NiB2O4
Method: DFT, PBE+U
State: optimized geometry

The structure belongs to space group C2/c (No. 15); the cell edges are 9.3340, 5.5860 and 4.4556 Å and the angles 90.00°, 108.13° and 90.00°. Symmetry generates all atoms from Ni at (0.0000, 0.1551, 0.2500), B at (0.1854, 0.3925, 0.8726), O at (0.1376, 0.4105, 0.5311) and O at (0.1443, 0.1503, 0.9803).

As for the size of the total moment: 1.98 μB per formula unit. The energy relative to the lowest polymorph listed for this composition is 0 kJ/mol of formula units. The density of states at the Fermi level is 0.00 states/eV/cell.